The following is a PBE calculation of an optimized crystal structure of LiCe2NdTe5, from Alexandria.

Computed properties:
The value obtained for the formation energy from raw total energies is -1.28 eV per atom. The value obtained for the theoretical density is 6.334 Mg/m³. As for the space group: Cm.

Unit cell a=4.4545 b=9.7115 c=13.3166 alpha=90.00 beta=90.00 gamma=103.26
Closest atoms and distances in Å follow each position.
Positions (direct):
Ce1 0.8759 0.7517 0.8032  7 Te 3.22-3.44
Te1 0.6336 0.2672 0.4994  1 Nd 3.16, 4 Ce 3.35-3.44
Ce2 0.8931 0.7863 0.1837  8 Te 3.24-3.40
Ce3 0.1069 0.2136 0.6839  8 Te 3.24-3.40
Te2 0.9548 0.9091 0.5723  2 Li 2.67
Te3 0.0452 0.0908 0.0723  2 Li 2.67
Nd1 0.8005 0.6008 0.5078  6 Te 3.04-3.16
Li1 0.4459 0.8912 0.4626  4 Te 2.67-2.95
Te4 0.5019 0.0040 0.2788  1 Li 2.67
Te5 0.3663 0.7327 0.9993  1 Nd 3.15, 4 Ce 3.35-3.44
Nd2 0.1995 0.3992 0.0081  6 Te 3.04-3.15
Te6 0.6854 0.3709 0.8417  1 Li 2.95, 2 Nd 3.15
Ce4 0.1240 0.2481 0.3033  7 Te 3.22-3.44
Li2 0.5544 0.1093 0.9625  4 Te 2.67-2.95
Te7 0.2856 0.5711 0.6741  2 Nd 3.15, 3 Ce 3.29-3.38
Te8 0.3147 0.6294 0.3416  1 Li 2.95, 2 Nd 3.15
Te9 0.7143 0.4287 0.1744  2 Nd 3.15, 3 Ce 3.29-3.38
Te10 0.4981 0.9959 0.7789  1 Li 2.67

The following is a PBE calculation of an optimized crystal structure of ZrVOsS2, from Alexandria.

Computed properties:
The value obtained for the formation energy from raw total energies is 1.43 eV per atom. The value obtained for the theoretical density is 5.702 Mg/m³. As for the space group: P4/mmm.

Unit cell a=4.7936 b=5.0256 c=4.7936 alpha=90.00 beta=90.00 gamma=90.00
Closest atoms and distances in Å follow each position.
Positions (direct):
V1 0.0000 0.5000 0.0000  2 Zr 2.51
S1 0.5000 0.0000 0.0000  2 Zr 2.40
Os1 0.5000 0.5000 0.5000  4 V 3.39, 8 S 3.47
Zr1 0.0000 0.0000 0.0000  4 S 2.40, 2 V 2.51
S2 0.0000 0.0000 0.5000  2 Zr 2.40

The following is a PBE calculation of an optimized crystal structure of Ca2SbRu, from Alexandria.

Computed properties:
The value obtained for the formation energy from raw total energies is -0.17 eV per atom. The value obtained for the theoretical density is 5.550 Mg/m³. As for the space group: Immm.

Unit cell a=5.4122 b=5.4122 c=5.4122 alpha=130.15 beta=129.97 gamma=73.31
Closest atoms and distances in Å follow each position.
Positions (direct):
Sb1 0.7500 0.2500 0.5000  8 Ca 3.15, 4 Ru 3.23
Ca1 0.0006 0.0006 0.0000  4 Ru 3.14-3.16, 4 Sb 3.15, 4 Ca 3.23
Ca2 0.4994 0.4994 0.0000  4 Ru 3.14-3.16, 4 Sb 3.15, 4 Ca 3.23
Ru1 0.2500 0.7500 0.5000  8 Ca 3.14-3.16, 4 Sb 3.23

The following is a PBE calculation of an optimized crystal structure of Pm6PrTl2, from Alexandria.

Computed properties:
The value obtained for the formation energy is -0.5 eV/f.u. The value obtained for the theoretical density is 7.809 Mg/m³. As for the space group: P4/mmm. Its energy relative to the lowest polymorph listed for this composition is 87 meV/atom.

Unit cell a=4.9104 b=4.9104 c=12.5193 alpha=90.00 beta=90.00 gamma=90.00
Closest atoms and distances in Å follow each position.
Positions (direct):
Tl1 0.5000 0.5000 0.8859  1 Tl 2.86
Pm1 0.5000 0.5000 0.5000  12 Pm 3.47-3.68
Pr1 0.0000 0.0000 0.0000  8 Tl 3.75
Pm2 0.0000 0.5000 0.2813  2 Tl 3.23, 4 Pm 3.47
Pm3 0.0000 0.0000 0.5000  12 Pm 3.47-3.68
Tl2 0.5000 0.5000 0.1141  1 Tl 2.86
Pm4 0.0000 0.5000 0.7187  2 Tl 3.23, 4 Pm 3.47
Pm5 0.5000 0.0000 0.7187  2 Tl 3.23, 4 Pm 3.47
Pm6 0.5000 0.0000 0.2813  2 Tl 3.23, 4 Pm 3.47

The following is a PBE calculation of an optimized crystal structure of PrNpCdO6, from Alexandria.

Computed properties:
The value obtained for the formation energy from raw total energies is -2.44 eV per atom. The value obtained for the theoretical density is 6.849 Mg/m³. As for the space group: P-31c.

Unit cell a=5.6614 b=5.6614 c=10.2421 alpha=90.00 beta=90.00 gamma=120.00
Closest atoms and distances in Å follow each position.
Positions (direct):
O1 0.6319 0.6727 0.6370  1 Np 2.03
O2 0.3681 0.0408 0.1369  1 Np 2.03
O3 0.0408 0.6727 0.8630  1 Np 2.03
Np1 0.6667 0.3333 0.2500  6 O 2.03
Cd1 0.6667 0.3333 0.7500  6 O 2.33
O4 0.9592 0.6319 0.3630  1 Np 2.03
O5 0.6727 0.0408 0.3630  1 Np 2.03
O6 0.6727 0.6319 0.1369  1 Np 2.03
Cd2 0.3333 0.6667 0.2500  6 O 2.33
Pr1 0.0000 0.0000 0.5000  6 O 2.43
O7 0.3681 0.3273 0.3630  1 Np 2.03
O8 0.6319 0.9592 0.8630  1 Np 2.03
Np2 0.3333 0.6667 0.7500  6 O 2.03
Pr2 0.0000 0.0000 0.0000  6 O 2.43
O9 0.0408 0.3681 0.6370  1 Np 2.03
O10 0.9592 0.3273 0.1369  1 Np 2.03
O11 0.3273 0.9592 0.6370  1 Np 2.03
O12 0.3273 0.3681 0.8630  1 Np 2.03

The following is a PBE calculation of an optimized crystal structure of BaSc2Sn, from Alexandria.

Computed properties:
The value obtained for the formation energy is 1.4 eV/f.u. The value obtained for the theoretical density is 4.525 Mg/m³. As for the space group: R-3m.

Unit cell a=12.1910 b=12.1910 c=12.1910 alpha=16.47 beta=16.47 gamma=16.47
Closest atoms and distances in Å follow each position.
Positions (direct):
Sc1 0.0809 0.0809 0.0809  1 Sn 2.92
Ba1 0.5000 0.5000 0.5000  6 Ba 3.49, 6 Sc 3.69
Sc2 0.9191 0.9191 0.9191  1 Sn 2.92
Sn1 0.0000 0.0000 0.0000  2 Sc 2.92

The following is a PBE calculation of an optimized crystal structure of DyZrPd14, from Alexandria.

Computed properties:
The value obtained for the formation energy is -6.6 eV/f.u. The value obtained for the theoretical density is 11.147 Mg/m³. As for the space group: P4/mmm.

Unit cell a=5.7229 b=5.7229 c=7.9306 alpha=90.00 beta=90.00 gamma=90.00
Closest atoms and distances in Å follow each position.
Positions (direct):
Pd1 0.3750 0.8750 0.0000  12 Pd 2.81-2.86
Pd2 0.8750 0.3750 0.5000  8 Pd 2.85, 2 Zr 2.86, 2 Dy 2.86
Pd3 0.6283 0.6283 0.2463  10 Pd 2.79-2.90, 1 Zr 2.83, 1 Dy 2.87
Pd4 0.6284 0.1216 0.2463  10 Pd 2.79-2.90, 1 Zr 2.83, 1 Dy 2.87
Pd5 0.3750 0.8750 0.5000  8 Pd 2.85, 2 Zr 2.86, 2 Dy 2.86
Zr1 0.8750 0.8750 0.5000  12 Pd 2.83-2.86
Pd6 0.1216 0.6284 0.2463  10 Pd 2.79-2.90, 1 Zr 2.83, 1 Dy 2.87
Pd7 0.8750 0.3750 0.0000  12 Pd 2.81-2.86
Pd8 0.6284 0.1216 0.7537  10 Pd 2.79-2.90, 1 Zr 2.83, 1 Dy 2.87
Pd9 0.1216 0.6284 0.7537  10 Pd 2.79-2.90, 1 Zr 2.83, 1 Dy 2.87
Dy1 0.3750 0.3750 0.5000  12 Pd 2.86-2.87
Pd10 0.1217 0.1217 0.7537  10 Pd 2.79-2.90, 1 Zr 2.83, 1 Dy 2.87
Pd11 0.3750 0.3750 0.0000  12 Pd 2.83-2.86
Pd12 0.1217 0.1217 0.2463  10 Pd 2.79-2.90, 1 Zr 2.83, 1 Dy 2.87
Pd13 0.6283 0.6283 0.7537  10 Pd 2.79-2.90, 1 Zr 2.83, 1 Dy 2.87
Pd14 0.8750 0.8750 0.0000  12 Pd 2.79-2.86

The following is a PBE calculation of an optimized crystal structure of TaNi2H3, from Alexandria.

Computed properties:
As for the total energy: -5.639 eV per atom. The value obtained for the theoretical density is 10.328 Mg/m³. As for the space group: Pnma.

Unit cell a=2.9095 b=7.1620 c=9.3010 alpha=90.00 beta=90.00 gamma=90.00
Closest atoms and distances in Å follow each position.
Positions (direct):
Ta1 0.7500 0.6758 0.5901  5 H 1.95-2.17
H1 0.7500 0.4070 0.0201  3 Ni 1.66-1.76
Ta2 0.7500 0.1758 0.9099  5 H 1.95-2.17
H2 0.2500 0.9964 0.9270  1 Ni 1.67
Ni1 0.2500 0.9090 0.3948  4 H 1.65-1.76
Ni2 0.2500 0.4090 0.1052  4 H 1.65-1.76
Ni3 0.7501 0.1469 0.2148  3 H 1.66-1.67
Ni4 0.2499 0.8531 0.7852  3 H 1.66-1.67
Ni5 0.2499 0.3531 0.7148  3 H 1.66-1.67
Ta3 0.2500 0.8242 0.0901  5 H 1.95-2.17
H3 0.7500 0.5036 0.4270  1 Ni 1.67
H4 0.7499 0.4559 0.7509  3 Ni 1.65-1.66
H5 0.7500 0.9070 0.4799  3 Ni 1.66-1.76
Ta4 0.2500 0.3242 0.4099  5 H 1.95-2.17
H6 0.7500 0.0036 0.0730  1 Ni 1.67
H7 0.7499 0.9559 0.7491  3 Ni 1.65-1.66
Ni6 0.7500 0.0910 0.6052  4 H 1.65-1.76
H8 0.2500 0.5930 0.9799  3 Ni 1.66-1.76
H9 0.2500 0.0930 0.5201  3 Ni 1.66-1.76
H10 0.2500 0.4964 0.5730  1 Ni 1.67
H11 0.2501 0.5441 0.2491  3 Ni 1.65-1.66
Ni7 0.7501 0.6469 0.2852  3 H 1.66-1.67
Ni8 0.7500 0.5910 0.8948  4 H 1.65-1.76
H12 0.2501 0.0441 0.2509  3 Ni 1.65-1.66

Copy entry 3 word for word.
The following is a PBE calculation of an optimized crystal structure of Ca2SbRu, from Alexandria.

Computed properties:
The value obtained for the formation energy from raw total energies is -0.17 eV per atom. The value obtained for the theoretical density is 5.550 Mg/m³. As for the space group: Immm.

Unit cell a=5.4122 b=5.4122 c=5.4122 alpha=130.15 beta=129.97 gamma=73.31
Closest atoms and distances in Å follow each position.
Positions (direct):
Sb1 0.7500 0.2500 0.5000  8 Ca 3.15, 4 Ru 3.23
Ca1 0.0006 0.0006 0.0000  4 Ru 3.14-3.16, 4 Sb 3.15, 4 Ca 3.23
Ca2 0.4994 0.4994 0.0000  4 Ru 3.14-3.16, 4 Sb 3.15, 4 Ca 3.23
Ru1 0.2500 0.7500 0.5000  8 Ca 3.14-3.16, 4 Sb 3.23